Compound: CsLiRuBr6
Source: Alexandria
Functional: PBE
Structure: optimized geometry

As for the formation energy (no corrections): -0.859 eV per atom. The value obtained for the total energy is -3.313 eV per atom.

Geometry as POSCAR:
```
CsLiRuBr6
1.0
6.8480 0.0001 0.0000
3.4242 5.9304 0.0001
0.0001 -0.0002 8.1981
Cs Li Ru Br
1 1 1 6
Direct
0.0000 0.0000 0.0000
0.6666 0.6666 0.5000
0.3333 0.3333 0.5000
0.0234 0.3555 0.3233
0.3555 0.0234 0.6767
0.6210 0.3555 0.6767
0.0233 0.6211 0.6767
0.3555 0.6211 0.3233
0.6211 0.0234 0.3233
```


Compound: Ce4SmHo
Source: Alexandria
Functional: PBE
Structure: optimized geometry

As for the formation energy: 0.21 eV/atom. The value obtained for the total energy is -5.299 eV per atom.

Geometry as POSCAR:
```
Ce4SmHo
1.0
6.3304 0.0000 0.0000
3.1652 5.4822 0.0000
3.1652 1.8274 5.1687
Ce Ho Sm
4 1 1
Direct
0.6287 0.6287 0.1139
0.6287 0.1139 0.6287
0.6287 0.6287 0.6287
0.1139 0.6287 0.6287
0.0000 0.0000 0.0000
0.2500 0.2500 0.2500
```